(1)
Compound: TmTaTe
Source: the Alexandria database
Functional: GGA-PBE
Structure: optimized geometry

Energy, eV/cell: -42.2
E_form (uncorrected), meV/atom: -544

a = 3.8854 Å, b = 3.8854 Å, c = 10.0782 Å
α = 90.00°, β = 90.00°, γ = 90.00°
Atoms (fractional coordinates):
Te 0.5000 0.0000 0.3605
Te 0.0000 0.5000 0.6395
Tm 0.5000 0.0000 0.7543
Ta 0.5000 0.0000 0.0522
Tm 0.0000 0.5000 0.2457
Ta 0.0000 0.5000 0.9478



(2)
Compound: NdHgBiRh
Source: the Alexandria database
Functional: GGA-PBE
Structure: optimized geometry

Energy, eV/cell: -17.7
Formation energy from the elements, eV per atom: -0.343

a = 5.1260 Å, b = 5.1260 Å, c = 5.1260 Å
α = 60.00°, β = 60.00°, γ = 60.00°
Atoms (fractional coordinates):
Rh 0.0000 0.0000 0.0000
Hg 0.5000 0.5000 0.5000
Bi 0.7500 0.7500 0.7500
Nd 0.2500 0.2500 0.2500



(3)
Compound: Th2MgAl3Pd4
Source: the Alexandria database
Functional: GGA-PBE
Structure: optimized geometry

Energy, eV/cell: -56.1
Formation energy from the elements, eV per atom: -0.762

a = 4.2884 Å, b = 4.2884 Å, c = 10.7286 Å
α = 90.00°, β = 90.00°, γ = 90.00°
Atoms (fractional coordinates):
Pd 0.0000 0.0000 0.0000
Pd 0.5000 0.0000 0.6422
Al 0.5000 0.0000 0.8756
Th 0.0000 0.5000 0.7600
Th 0.5000 0.0000 0.2400
Pd 0.5000 0.5000 0.0000
Pd 0.0000 0.5000 0.3578
Al 0.0000 0.5000 0.1244
Mg 0.5000 0.5000 0.5000
Al 0.0000 0.0000 0.5000



Q: Among the records above, which one has the highest energy?
A: NdHgBiRh